MgAsAuO after structural relaxation, computed with PBE-GGA.

Lattice parameters (Å, degrees): 4.5803 4.5803 7.3587 90.00 90.00 90.00
Last column: nearest neighbours and their distance in Å.
Atoms (fractional coordinates):
Mg  0.2500  0.7500  0.0000  4 As 2.61
Mg  0.7500  0.2500  0.0000  4 As 2.61
As  0.2500  0.2500  0.1697  1 Au 2.52, 4 Mg 2.61
As  0.7500  0.7500  0.8303  1 Au 2.52, 4 Mg 2.61
Au  0.2500  0.2500  0.5121  4 O 2.29, 1 As 2.52
Au  0.7500  0.7500  0.4879  4 O 2.29, 1 As 2.52
O  0.2500  0.7500  0.5000  4 Au 2.29
O  0.7500  0.2500  0.5000  4 Au 2.29

Properties
Uncorrected energy ... -3.503 eV per atom
Energy above the lowest structure with this stoichiometry ... 1048 meV per atom